[1]
## ZnIn2Pt (GGA-PBEsol)

Data for an optimized crystal structure of ZnIn2Pt.

Cell and atoms, written as extended XYZ:
```
4
Lattice="3.636 0.000 0.000 0.000 4.573 0.001 0.000 -1.246 4.400" Properties=species:S:1:pos:R:3 pbc="T T T"
In 0.000 2.287 0.001
In 0.000 -0.623 2.200
Pt 1.818 0.000 0.000
Zn 1.818 1.664 2.201
```

Calculated values
space group	Cmmm


[2]
## ZnIn2Pt (GGA-PBEsol)

Data for an optimized crystal structure of ZnIn2Pt.

Cell and atoms, written as extended XYZ:
```
4
Lattice="3.603 0.000 0.000 0.000 4.152 0.000 -1.802 0.000 5.013" Properties=species:S:1:pos:R:3 pbc="T T T"
In 1.802 0.000 4.735
In 0.000 2.076 2.745
Pt 1.802 0.000 1.965
Zn 1.802 2.076 0.451
```

Calculated values
space group	Amm2


[3]
## ZnIn2Pt (GGA-PBEsol)

Data for an optimized crystal structure of ZnIn2Pt.

Cell and atoms, written as extended XYZ:
```
4
Lattice="-1.413 -2.909 -1.359 2.092 0.396 -3.024 4.019 -3.060 2.379" Properties=species:S:1:pos:R:3 pbc="T T T"
Zn 2.349 -2.787 -1.002
In 0.992 -0.756 0.587
In 1.613 -5.214 0.433
Pt 0.339 -1.257 -2.191
```

Calculated values
space group	Pmmm


[4]
## ZnIn2Pt (GGA-PBEsol)

Data for an optimized crystal structure of ZnIn2Pt.

Cell and atoms, written as extended XYZ:
```
4
Lattice="-2.702 -0.339 -1.089 1.367 -0.414 -3.263 0.460 -7.229 1.109" Properties=species:S:1:pos:R:3 pbc="T T T"
In -0.531 -2.523 -1.847
In 0.443 -6.968 1.069
Pt 0.246 -3.872 0.594
Zn -0.344 -5.462 -1.396
```

Calculated values
space group	Pmm2


[5]
## ZrInPt2 (GGA-PBEsol)

Data for an optimized crystal structure of ZrInPt2.

Cell and atoms, written as extended XYZ:
```
4
Lattice="-2.715 1.730 -1.049 -0.894 -2.600 -1.976 -3.380 -2.435 4.733" Properties=species:S:1:pos:R:3 pbc="T T T"
Zr -1.804 -0.435 -1.512
Pt -0.786 -0.567 1.101
Pt -2.594 -1.869 3.632
In -3.494 -1.653 0.854
```

Calculated values
space group	P4/mmm


[6]
## Zr4InPt (GGA-PBEsol)

Data for an optimized crystal structure of Zr4InPt.

Cell and atoms, written as extended XYZ:
```
6
Lattice="-0.075 -0.773 5.495 -2.921 -4.188 2.173 2.626 -4.353 2.226" Properties=species:S:1:pos:R:3 pbc="T T T"
Zr -1.599 -5.587 4.797
Zr -0.138 -3.492 3.710
Zr 1.175 -5.669 4.823
Zr -0.176 -3.879 6.458
Pt 0.000 0.000 0.000
In -0.277 -6.985 7.420
```

Calculated values
space group	F-43m


[7]
## ZrIn3Pt (GGA-PBEsol)

Data for an optimized crystal structure of ZrIn3Pt.

Cell and atoms, written as extended XYZ:
```
5
Lattice="5.346 0.000 0.000 0.000 5.346 0.000 0.000 0.000 5.346" Properties=species:S:1:pos:R:3 pbc="T T T"
Zr 0.000 0.000 0.000
In 2.673 0.000 0.000
In 0.000 2.673 0.000
In 0.000 0.000 2.673
Pt 2.673 2.673 2.673
```

Calculated values
space group	Pm-3m


[8]
## PuIn3 (GGA-PBEsol)

Data for an optimized crystal structure of PuIn3.

Cell and atoms, written as extended XYZ:
```
4
Lattice="4.554 0.000 0.000 0.000 4.554 0.000 0.000 0.000 4.554" Properties=species:S:1:pos:R:3 pbc="T T T"
In 0.000 2.277 2.277
In 2.277 2.277 0.000
In 2.277 0.000 2.277
Pu 0.000 0.000 0.000
```

Calculated values
space group	Pm-3m


Calculated values (Mg/m³) of mass density for the records, taken in order: 11.12; 10.85; 11.24; 10.63; 13.70; 9.27; 6.86; 10.34.
Calculated values (meV per atom) of formation energy for the records, taken in order: -124; -267; -152; -172; -766; 46; 1236; -118.